ZrTa2FeS after structural relaxation, computed with PBE.

Values from the calculation:
As for the crystal system: tetragonal. The energy relative to the elements, uncorrected comes out at 621 meV/atom. For the energy, the calculation gives -41.7 eV for the cell shown. As for the volume: 101.90 Å³/cell.

Cell: 4.514 4.514 5.002 Å, 90.00 90.00 90.00°
Space group P4/mmm (No. 123)
Symmetry-distinct sites (fractional):
Zr  0.000  0.000  0.000 (multiplicity 1)
Ta  0.000  0.500  0.500 (multiplicity 2)
Fe  0.000  0.000  0.500 (multiplicity 1)
S  0.500  0.500  0.000 (multiplicity 1)

TbFeS after structural relaxation, computed with PBE.

Values from the calculation:
As for the crystal system: trigonal. The energy relative to the elements, uncorrected comes out at -720 meV/atom. For the energy, the calculation gives -116.3 eV for the cell shown. As for the volume: 425.18 Å³/cell.

Cell: 3.8914 3.8914 32.4214 Å, 90.00 90.00 120.00°
Space group R-3m (No. 166, hexagonal axes)
Symmetry-distinct sites (fractional):
Tb  0.0000  0.0000  0.0699 (multiplicity 6)
Fe  0.0000  0.0000  0.3321 (multiplicity 6)
S  0.0000  0.0000  0.2220 (multiplicity 6)

Tb3Fe5S12 after structural relaxation, computed with PBE.

Values from the calculation:
As for the crystal system: cubic. The energy relative to the elements, uncorrected comes out at -887 meV/atom. For the energy, the calculation gives -987.8 eV for the cell shown. As for the volume: 3076.67 Å³/cell.

Cell: 14.544 14.544 14.544 Å, 90.00 90.00 90.00°
Space group Ia-3d (No. 230)
Symmetry-distinct sites (fractional):
Tb  0.000  0.250  0.125 (multiplicity 24)
Fe  0.000  0.000  0.000 (multiplicity 16)
Fe  0.000  0.250  0.375 (multiplicity 24)
S  0.030  0.055  0.644 (multiplicity 96)

FeTcS2 after structural relaxation, computed with PBE.

Values from the calculation:
As for the crystal system: tetragonal. The energy relative to the elements, uncorrected comes out at -222 meV/atom. For the energy, the calculation gives -111.9 eV for the cell shown. The energy relative to the lowest polymorph listed for this composition comes out at 0.0 kJ per mole of atoms. As for the volume: 262.45 Å³/cell.

Cell: 5.092 5.092 10.122 Å, 90.00 90.00 90.00°
Space group I-42d (No. 122)
Symmetry-distinct sites (fractional):
Fe  0.000  0.000  0.000 (multiplicity 4)
Tc  0.000  0.000  0.500 (multiplicity 4)
S  0.229  0.250  0.125 (multiplicity 8)

FeTcS2 after structural relaxation, computed with PBE.

Values from the calculation:
As for the crystal system: trigonal. The energy relative to the elements, uncorrected comes out at -31 meV/atom. For the energy, the calculation gives -81.6 eV for the cell shown. The energy relative to the lowest polymorph listed for this composition comes out at 18.4 kJ per mole of atoms. As for the volume: 183.49 Å³/cell.

Cell: 3.0472 3.0472 22.8183 Å, 90.00 90.00 120.00°
Space group R-3m (No. 166, hexagonal axes)
Symmetry-distinct sites (fractional):
Fe  0.0000  0.0000  0.0000 (multiplicity 3)
Tc  0.0000  0.0000  0.5000 (multiplicity 3)
S  0.0000  0.0000  0.0944 (multiplicity 6)

FeTc2S after structural relaxation, computed with PBE.

Values from the calculation:
As for the crystal system: tetragonal. The energy relative to the elements, uncorrected comes out at 506 meV/atom. For the energy, the calculation gives -125.2 eV for the cell shown. As for the volume: 283.96 Å³/cell.

Cell: 5.268 5.268 10.232 Å, 90.00 90.00 90.00°
Space group I-42d (No. 122)
Symmetry-distinct sites (fractional):
Fe  0.000  0.000  0.000 (multiplicity 4)
Tc  0.242  0.250  0.125 (multiplicity 8)
S  0.000  0.000  0.500 (multiplicity 4)

FeTcS2 after structural relaxation, computed with PBE.

Values from the calculation:
As for the crystal system: cubic. The energy relative to the elements, uncorrected comes out at 125 meV/atom. For the energy, the calculation gives -106.3 eV for the cell shown. The energy relative to the lowest polymorph listed for this composition comes out at 33.5 kJ per mole of atoms. As for the volume: 198.70 Å³/cell.

Cell: 5.835 5.835 5.835 Å, 90.00 90.00 90.00°
Space group Fm-3m (No. 225)
Symmetry-distinct sites (fractional):
Fe  0.000  0.000  0.000 (multiplicity 4)
Tc  0.000  0.000  0.500 (multiplicity 4)
S  0.250  0.250  0.250 (multiplicity 8)

FeTeS2 after structural relaxation, computed with PBE.

Values from the calculation:
As for the crystal system: trigonal. The energy relative to the elements, uncorrected comes out at -160 meV/atom. For the energy, the calculation gives -61.5 eV for the cell shown. As for the volume: 231.00 Å³/cell.

Cell: 3.4084 3.4084 22.9603 Å, 90.00 90.00 120.00°
Space group R-3m (No. 166, hexagonal axes)
Symmetry-distinct sites (fractional):
Fe  0.0000  0.0000  0.0000 (multiplicity 3)
Te  0.0000  0.0000  0.5000 (multiplicity 3)
S  0.0000  0.0000  0.3827 (multiplicity 6)

Fe2TeS2 after structural relaxation, computed with PBE.

Values from the calculation:
As for the crystal system: tetragonal. The energy relative to the elements, uncorrected comes out at 181 meV/atom. For the energy, the calculation gives -54.8 eV for the cell shown. As for the volume: 163.59 Å³/cell.

Cell: 3.891 3.891 10.805 Å, 90.00 90.00 90.00°
Space group I4/mmm (No. 139)
Symmetry-distinct sites (fractional):
Fe  0.000  0.000  0.130 (multiplicity 4)
Te  0.000  0.000  0.500 (multiplicity 2)
S  0.000  0.500  0.250 (multiplicity 4)

Fe2TeS2 after structural relaxation, computed with PBE.

Values from the calculation:
As for the crystal system: tetragonal. The energy relative to the elements, uncorrected comes out at 445 meV/atom. For the energy, the calculation gives -52.2 eV for the cell shown. As for the volume: 171.55 Å³/cell.

Cell: 7.774 7.774 2.839 Å, 90.00 90.00 90.00°
Space group P4/mbm (No. 127)
Symmetry-distinct sites (fractional):
Fe  0.111  0.389  0.000 (multiplicity 4)
Te  0.000  0.000  0.500 (multiplicity 2)
S  0.118  0.618  0.500 (multiplicity 4)

Fe2Te2S after structural relaxation, computed with PBE.

Values from the calculation:
As for the crystal system: tetragonal. The energy relative to the elements, uncorrected comes out at 468 meV/atom. For the energy, the calculation gives -50.0 eV for the cell shown. The energy relative to the lowest polymorph listed for this composition comes out at 0.0 kJ per mole of atoms. As for the volume: 170.09 Å³/cell.

Cell: 7.171 7.171 3.308 Å, 90.00 90.00 90.00°
Space group P4/mbm (No. 127)
Symmetry-distinct sites (fractional):
Fe  0.132  0.368  0.000 (multiplicity 4)
Te  0.155  0.655  0.500 (multiplicity 4)
S  0.000  0.000  0.000 (multiplicity 2)

FeTeS2 after structural relaxation, computed with PBE.

Values from the calculation:
As for the crystal system: tetragonal. The energy relative to the elements, uncorrected comes out at 85 meV/atom. For the energy, the calculation gives -78.1 eV for the cell shown. As for the volume: 336.15 Å³/cell.

Cell: 6.161 6.161 8.857 Å, 90.00 90.00 90.00°
Space group I-42d (No. 122)
Symmetry-distinct sites (fractional):
Fe  0.000  0.000  0.000 (multiplicity 4)
Te  0.000  0.000  0.500 (multiplicity 4)
S  0.149  0.250  0.125 (multiplicity 8)